Entry 1:
# NbGaAg2 (PBE, optimized geometry)
# Formation energy, eV/atom: 0.4867
# Fermi-level density of states, states/eV/f.u.: 3.3
# Magnetization, Bohr magnetons per cell: 0.00
# Density, Mg/m³: 8.32
data_NbGaAg2
_chemical_formula_sum 'Nb2 Ga2 Ag4'
_space_group_name_H-M_alt 'P 1'
_space_group_IT_number 1
_cell_length_a 5.930
_cell_length_b 5.930
_cell_length_c 5.930
_cell_angle_alpha 102.12
_cell_angle_beta 102.12
_cell_angle_gamma 125.45
loop_
_space_group_symop_operation_xyz
'x,y,z'
loop_
_atom_site_label
_atom_site_type_symbol
_atom_site_fract_x
_atom_site_fract_y
_atom_site_fract_z
Nb1 Nb 0.000 0.000 0.000
Nb2 Nb 0.750 0.250 0.500
Ga1 Ga 0.250 0.750 0.500
Ga2 Ga 0.500 0.500 0.000
Ag1 Ag 0.150 0.625 0.025
Ag2 Ag 0.375 0.400 0.525
Ag3 Ag 0.600 0.125 0.975
Ag4 Ag 0.875 0.850 0.475


Entry 2:
# NbGa2Ag2 (PBE, optimized geometry)
# Energy above the lowest structure with this stoichiometry, meV per atom: 0.0
# Formation energy, eV/atom: 0.1030
# Fermi-level density of states, states/eV/f.u.: 3.7
# Magnetization, Bohr magnetons per cell: 0.00
# Density, Mg/m³: 8.64
data_NbGa2Ag2
_chemical_formula_sum 'Nb2 Ga4 Ag4'
_space_group_name_H-M_alt 'P 1'
_space_group_IT_number 1
_cell_length_a 7.649
_cell_length_b 7.649
_cell_length_c 2.945
_cell_angle_alpha 90.00
_cell_angle_beta 90.00
_cell_angle_gamma 90.00
loop_
_space_group_symop_operation_xyz
'x,y,z'
loop_
_atom_site_label
_atom_site_type_symbol
_atom_site_fract_x
_atom_site_fract_y
_atom_site_fract_z
Nb1 Nb 0.000 0.000 0.000
Nb2 Nb 0.500 0.500 0.000
Ga1 Ga 0.156 0.344 0.000
Ga2 Ga 0.344 0.844 0.000
Ga3 Ga 0.656 0.156 0.000
Ga4 Ga 0.844 0.656 0.000
Ag1 Ag 0.144 0.644 0.500
Ag2 Ag 0.356 0.144 0.500
Ag3 Ag 0.644 0.856 0.500
Ag4 Ag 0.856 0.356 0.500


Entry 3:
# NbGaAg (PBE, optimized geometry)
# Formation energy, eV/atom: -0.0296
# Fermi-level density of states, states/eV/f.u.: 1.3
# Magnetization, Bohr magnetons per cell: 0.00
# Density, Mg/m³: 8.76
data_NbGaAg
_chemical_formula_sum 'Nb1 Ga1 Ag1'
_space_group_name_H-M_alt 'P 1'
_space_group_IT_number 1
_cell_length_a 6.688
_cell_length_b 6.688
_cell_length_c 6.688
_cell_angle_alpha 155.53
_cell_angle_beta 155.53
_cell_angle_gamma 34.88
loop_
_space_group_symop_operation_xyz
'x,y,z'
loop_
_atom_site_label
_atom_site_type_symbol
_atom_site_fract_x
_atom_site_fract_y
_atom_site_fract_z
Nb1 Nb 0.000 0.000 0.000
Ga1 Ga 0.341 0.341 0.000
Ag1 Ag 0.677 0.677 0.000


Entry 4:
# NbGaAg2 (PBE, optimized geometry)
# Formation energy, eV/atom: 0.3254
# Fermi-level density of states, states/eV/f.u.: 1.4
# Magnetization, Bohr magnetons per cell: 0.00
# Density, Mg/m³: 8.51
data_NbGaAg2
_chemical_formula_sum 'Nb1 Ga1 Ag2'
_space_group_name_H-M_alt 'P 1'
_space_group_IT_number 1
_cell_length_a 10.611
_cell_length_b 10.611
_cell_length_c 10.611
_cell_angle_alpha 15.45
_cell_angle_beta 15.45
_cell_angle_gamma 15.45
loop_
_space_group_symop_operation_xyz
'x,y,z'
loop_
_atom_site_label
_atom_site_type_symbol
_atom_site_fract_x
_atom_site_fract_y
_atom_site_fract_z
Nb1 Nb 0.000 0.000 0.000
Ga1 Ga 0.500 0.500 0.500
Ag1 Ag 0.090 0.090 0.090
Ag2 Ag 0.910 0.910 0.910


Entry 5:
# NbGaAg (PBE, optimized geometry)
# Formation energy, eV/atom: -0.0810
# Fermi-level density of states, states/eV/f.u.: 1.5
# Magnetization, Bohr magnetons per cell: 0.00
# Density, Mg/m³: 8.58
data_NbGaAg
_chemical_formula_sum 'Nb2 Ga2 Ag2'
_space_group_name_H-M_alt 'P 1'
_space_group_IT_number 1
_cell_length_a 2.870
_cell_length_b 2.873
_cell_length_c 13.045
_cell_angle_alpha 89.90
_cell_angle_beta 89.73
_cell_angle_gamma 76.57
loop_
_space_group_symop_operation_xyz
'x,y,z'
loop_
_atom_site_label
_atom_site_type_symbol
_atom_site_fract_x
_atom_site_fract_y
_atom_site_fract_z
Nb1 Nb 0.000 0.000 0.000
Nb2 Nb 0.499 0.506 0.823
Ga1 Ga 0.000 0.005 0.660
Ga2 Ga 0.497 0.499 0.163
Ag1 Ag 0.063 0.067 0.324
Ag2 Ag 0.563 0.568 0.499


Entry 6:
# Nb3GaAg (PBE, optimized geometry)
# Energy above the lowest structure with this stoichiometry, meV per atom: 0.0
# Formation energy, eV/atom: 1.1100
# Fermi-level density of states, states/eV/f.u.: 10.2
# Magnetization, Bohr magnetons per cell: 0.00
# Density, Mg/m³: 7.03
data_Nb3GaAg
_chemical_formula_sum 'Nb3 Ga1 Ag1'
_space_group_name_H-M_alt 'P 1'
_space_group_IT_number 1
_cell_length_a 4.758
_cell_length_b 4.758
_cell_length_c 4.758
_cell_angle_alpha 90.00
_cell_angle_beta 90.00
_cell_angle_gamma 90.00
loop_
_space_group_symop_operation_xyz
'x,y,z'
loop_
_atom_site_label
_atom_site_type_symbol
_atom_site_fract_x
_atom_site_fract_y
_atom_site_fract_z
Nb1 Nb 0.000 0.000 0.500
Nb2 Nb 0.000 0.500 0.000
Nb3 Nb 0.500 0.000 0.000
Ga1 Ga 0.000 0.000 0.000
Ag1 Ag 0.500 0.500 0.500


Entry 7:
# NbGa2Ag (PBE, optimized geometry)
# Energy above the lowest structure with this stoichiometry, meV per atom: 359.0
# Formation energy, eV/atom: 0.1915
# Fermi-level density of states, states/eV/f.u.: 0.4
# Magnetization, Bohr magnetons per cell: 0.00
# Density, Mg/m³: 7.71
data_NbGa2Ag
_chemical_formula_sum 'Nb2 Ga4 Ag2'
_space_group_name_H-M_alt 'P 1'
_space_group_IT_number 1
_cell_length_a 5.798
_cell_length_b 5.798
_cell_length_c 5.798
_cell_angle_alpha 104.65
_cell_angle_beta 104.65
_cell_angle_gamma 119.62
loop_
_space_group_symop_operation_xyz
'x,y,z'
loop_
_atom_site_label
_atom_site_type_symbol
_atom_site_fract_x
_atom_site_fract_y
_atom_site_fract_z
Nb1 Nb 0.000 0.000 0.000
Nb2 Nb 0.750 0.250 0.500
Ga1 Ga 0.138 0.625 0.013
Ga2 Ga 0.375 0.388 0.513
Ga3 Ga 0.612 0.125 0.987
Ga4 Ga 0.875 0.862 0.487
Ag1 Ag 0.250 0.750 0.500
Ag2 Ag 0.500 0.500 0.000


Entry 8:
# NbGa3Ag (PBE, optimized geometry)
# Energy above the lowest structure with this stoichiometry, meV per atom: 0.0
# Formation energy, eV/atom: 0.6225
# Fermi-level density of states, states/eV/f.u.: 3.1
# Magnetization, Bohr magnetons per cell: 0.00
# Density, Mg/m³: 5.34
data_NbGa3Ag
_chemical_formula_sum 'Nb1 Ga3 Ag1'
_space_group_name_H-M_alt 'P 1'
_space_group_IT_number 1
_cell_length_a 5.031
_cell_length_b 5.031
_cell_length_c 5.031
_cell_angle_alpha 90.00
_cell_angle_beta 90.00
_cell_angle_gamma 90.00
loop_
_space_group_symop_operation_xyz
'x,y,z'
loop_
_atom_site_label
_atom_site_type_symbol
_atom_site_fract_x
_atom_site_fract_y
_atom_site_fract_z
Nb1 Nb 0.000 0.000 0.000
Ga1 Ga 0.000 0.000 0.500
Ga2 Ga 0.000 0.500 0.000
Ga3 Ga 0.500 0.000 0.000
Ag1 Ag 0.500 0.500 0.500


> Which of these has the lowest density?

NbGa3Ag


Repeat the fifth record exactly.
# NbGaAg (PBE, optimized geometry)
# Formation energy, eV/atom: -0.0810
# Fermi-level density of states, states/eV/f.u.: 1.5
# Magnetization, Bohr magnetons per cell: 0.00
# Density, Mg/m³: 8.58
data_NbGaAg
_chemical_formula_sum 'Nb2 Ga2 Ag2'
_space_group_name_H-M_alt 'P 1'
_space_group_IT_number 1
_cell_length_a 2.870
_cell_length_b 2.873
_cell_length_c 13.045
_cell_angle_alpha 89.90
_cell_angle_beta 89.73
_cell_angle_gamma 76.57
loop_
_space_group_symop_operation_xyz
'x,y,z'
loop_
_atom_site_label
_atom_site_type_symbol
_atom_site_fract_x
_atom_site_fract_y
_atom_site_fract_z
Nb1 Nb 0.000 0.000 0.000
Nb2 Nb 0.499 0.506 0.823
Ga1 Ga 0.000 0.005 0.660
Ga2 Ga 0.497 0.499 0.163
Ag1 Ag 0.063 0.067 0.324
Ag2 Ag 0.563 0.568 0.499


> The highest formation energy belongs to which entry?

Nb3GaAg